[1]
DFT (PBE) results for a relaxed Tm12Ga6Sn crystal.

## Properties
Crystal system ... cubic
Density of states at the Fermi level ... 18.81 states/eV/f.u.
DFT total energy ... -4.39 eV per atom

a b c (Å): 9.9186 9.9186 9.9186
angles (deg): 90.00 90.00 90.00
Space group Im-3 (No. 204)
Symmetry-distinct sites (fractional):
Tm 0.0000 0.1884 0.2935
Ga 0.0000 0.3766 0.5000
Sn 0.0000 0.0000 0.0000

[2]
DFT (PBE) results for a relaxed ScHgIr2 crystal.

## Properties
Crystal system ... tetragonal
Density of states at the Fermi level ... 3.38 states/eV/f.u.
DFT total energy ... -6.34 eV per atom

a b c (Å): 4.1472 4.1472 7.9323
angles (deg): 90.00 90.00 90.00
Space group I4/mmm (No. 139)
Symmetry-distinct sites (fractional):
Sc 0.0000 0.0000 0.0000
Hg 0.0000 0.0000 0.5000
Ir 0.0000 0.5000 0.2500

[3]
DFT (PBE) results for a relaxed PrBi3Pb crystal.

## Properties
Crystal system ... orthorhombic
Density of states at the Fermi level ... 2.07 states/eV/f.u.
DFT total energy ... -4.40 eV per atom

a b c (Å): 14.8325 6.4799 6.7616
angles (deg): 90.00 90.00 90.00
Space group Pbcm (No. 57)
Symmetry-distinct sites (fractional):
Pr 0.1743 0.0012 0.2500
Bi 0.0013 0.2500 0.0000
Bi 0.2183 0.5055 0.2500
Bi 0.4008 0.7250 0.7500
Pb 0.3862 0.2500 0.0000

[4]
DFT (PBE) results for a relaxed CdGa4Ag4 crystal.

## Properties
Crystal system ... tetragonal
Density of states at the Fermi level ... 4.19 states/eV/f.u.
DFT total energy ... -2.62 eV per atom

a b c (Å): 7.2649 7.2649 7.0479
angles (deg): 90.00 90.00 90.00
Space group P4_2/nmc (No. 137, origin choice 2)
Symmetry-distinct sites (fractional):
Cd 0.2500 0.7500 0.2500
Ga 0.0460 0.7500 0.6082
Ag 0.0581 0.2500 0.0159

[5]
DFT (PBE) results for a relaxed SmMgTlZn crystal.

## Properties
Crystal system ... cubic
Density of states at the Fermi level ... 1.08 states/eV/f.u.
DFT total energy ... -2.76 eV per atom

a b c (Å): 7.2534 7.2534 7.2534
angles (deg): 90.00 90.00 90.00
Space group F-43m (No. 216)
Symmetry-distinct sites (fractional):
Sm 0.0000 0.0000 0.0000
Mg 0.0000 0.0000 0.5000
Tl 0.2500 0.2500 0.7500
Zn 0.2500 0.2500 0.2500

[6]
DFT (PBE) results for a relaxed Tb12Er6Mg crystal.

## Properties
Crystal system ... trigonal
Density of states at the Fermi level ... 29.18 states/eV/f.u.
DFT total energy ... -4.31 eV per atom

a b c (Å): 12.8637 12.8637 12.8154
angles (deg): 90.00 90.00 120.00
Space group R-3m (No. 166, hexagonal axes)
Symmetry-distinct sites (fractional):
Tb 0.0000 0.2617 0.0000
Tb 0.0552 0.5276 0.1126
Er 0.0904 0.1808 0.7730
Mg 0.0000 0.0000 0.0000

[7]
DFT (PBE) results for a relaxed Ac2TbPd9 crystal.

## Properties
Crystal system ... tetragonal
Density of states at the Fermi level ... 7.30 states/eV/f.u.
DFT total energy ... -5.73 eV per atom

a b c (Å): 4.2701 4.2701 12.6915
angles (deg): 90.00 90.00 90.00
Space group P4/mmm (No. 123)
Symmetry-distinct sites (fractional):
Ac 0.0000 0.0000 0.1724
Tb 0.0000 0.0000 0.5000
Pd 0.0000 0.5000 0.0000
Pd 0.0000 0.5000 0.3436
Pd 0.5000 0.5000 0.1715
Pd 0.5000 0.5000 0.5000

[8]
DFT (PBE) results for a relaxed Ba3NaLi2F9 crystal.

## Properties
Crystal system ... trigonal
Density of states at the Fermi level ... 0.00 states/eV/f.u.
Energy relative to the elements, uncorrected ... -3421.0 meV per atom

a b c (Å): 5.8155 5.8155 7.1537
angles (deg): 90.00 90.00 120.00
Space group P-3m1 (No. 164)
Symmetry-distinct sites (fractional):
Ba 0.0000 0.0000 0.0000
Ba 0.3333 0.6667 0.6742
Na 0.0000 0.0000 0.5000
Li 0.3333 0.6667 0.1636
F 0.0000 0.5000 0.0000
F 0.1730 0.3460 0.3226